## TlInAg2 (GGA-PBE)

Data for an optimized crystal structure of TlInAg2.

Properties
Formation energy (kcal/mol of atoms): 2.482

a = 4.595 Å, b = 4.630 Å, c = 4.201 Å
α = 90.00°, β = 90.00°, γ = 90.00°
Atoms (fractional coordinates):
Tl1 0.000 0.500 0.500
In1 0.500 0.000 0.500
Ag1 0.500 0.500 0.000
Ag2 0.000 0.000 0.000